Below is a PBEsol-optimized structure of Ni2RuPt, with properties calculated at the meta-GGA SCAN level.

Cell: 3.625 3.625 4.532 Å, 113.58 113.58 90.00°
Sites, in units of the cell vectors:
Ni  0.500  0.500  0.000
Pt  0.000  0.000  0.000
Ru  0.250  0.750  0.500
Ni  0.750  0.250  0.500

Output
- ΔE to the lowest computed polymorph: 0 meV/atom
- VASP energy: -34.327 eV per atom
- Crystal system: tetragonal
- Total magnetization: 0.01 μB/f.u.
- ΔE_f: 0.0142 eV per atom